1.
Below is a relaxed Er2CuS crystal, with properties calculated at the PBE-GGA level.

```
4
Lattice="3.7681 0.0000 0.0000 1.8841 3.2633 0.0000 1.8841 1.0878 7.1521" Properties=species:S:1:pos:R:3 pbc="T T T"
Er 1.8841 1.0878 1.7522
Er 1.8841 1.0878 5.3925
Cu 5.6522 3.2633 7.1315
S 3.7681 2.1755 3.6041
```

Calculated values
The calculation puts the mass density at 8.12 g/cm3. Its uncorrected formation energy is -937 meV/atom. The polymorph energy (0 for the lowest one) is 0.2034 eV per atom. Its space group is R3m (160).

2.
Below is a relaxed Er4Cu2S crystal, with properties calculated at the PBE-GGA level.

```
7
Lattice="3.6307 0.0000 1.0991 1.5001 6.2144 1.5908 -0.1722 0.4011 7.1150" Properties=species:S:1:pos:R:3 pbc="T T T"
Er 1.5693 1.6819 1.3623
Er 0.5455 1.5319 4.7444
Er 3.3893 4.9336 8.4426
Er 4.4131 5.0836 5.0605
S 0.0000 0.0000 0.0000
Cu 2.8418 2.8966 3.7049
Cu 2.1168 3.7189 6.1000
```

Calculated values
The calculation puts the mass density at 8.59 g/cm3. Its uncorrected formation energy is -688 meV/atom. Its space group is C2/m (12).

3.
Below is a relaxed ErCu5S4 crystal, with properties calculated at the PBE-GGA level.

```
10
Lattice="-0.4510 -2.9121 2.4335 6.6317 -1.7976 -0.9221 -1.4243 6.0653 3.9931" Properties=species:S:1:pos:R:3 pbc="T T T"
Cu 5.8963 -0.0951 0.9790
Cu -1.1399 1.4506 4.5256
Cu 2.8175 0.3779 3.9754
Cu 3.0903 -2.3549 0.7557
Cu 1.9389 0.9776 1.5292
S 0.5175 0.1987 3.3346
S 1.8410 -0.4990 -0.2560
S 4.7907 -1.2986 -0.6661
S 4.2389 1.1569 2.1700
Er -0.2255 -1.4561 1.2168
```

Calculated values
The calculation puts the mass density at 6.15 g/cm3. Its uncorrected formation energy is -557 meV/atom. Its space group is Immm (71).

4.
Below is a relaxed ErCu2S3 crystal, with properties calculated at the PBE-GGA level.

```
12
Lattice="4.7332 0.0000 0.0000 0.0000 7.0925 -0.4187 0.0000 -2.2045 6.7541" Properties=species:S:1:pos:R:3 pbc="T T T"
S 1.1833 4.7961 3.3253
S 1.1833 6.0232 0.4063
S 1.1833 2.8884 0.8527
S 3.5499 1.9996 5.4828
S 3.5499 -1.1353 5.9292
S 3.5499 0.0919 3.0102
Er 1.1833 0.2136 4.8885
Er 3.5499 4.6743 1.4470
Cu 0.0000 0.9701 1.2574
Cu 0.0000 3.9179 5.0781
Cu 2.3666 3.9179 5.0781
Cu 2.3666 0.9701 1.2574
```

Calculated values
The calculation puts the mass density at 5.83 g/cm3. Its uncorrected formation energy is -767 meV/atom. Its space group is Cmcm (63).

Number 1: calculated volume 22.0 Å³/atom. Number 2: calculated volume 22.9 Å³/atom. Number 3: calculated volume 16.6 Å³/atom. Number 4: calculated volume 18.5 Å³/atom.